(one)
Density functional theory data (GGA-PBE) for an optimized crystal structure of TaW5.

Properties
Magnetization, μB per formula unit: 0.00
Space group: No. 63

Unit cell a=5.285 b=5.285 c=8.599 alpha=90.00 beta=90.00 gamma=120.82
Atoms (fractional coordinates):
Ta 0.170 0.830 0.750
Ta 0.830 0.170 0.250
W 0.000 0.000 0.000
W 0.000 0.000 0.500
W 0.169 0.340 0.750
W 0.336 0.664 0.043
W 0.336 0.664 0.457
W 0.340 0.169 0.250
W 0.660 0.831 0.750
W 0.664 0.336 0.543
W 0.664 0.336 0.957
W 0.831 0.660 0.250

---

(two)
Density functional theory data (GGA-PBE) for an optimized crystal structure of TaW5.

Properties
Magnetization, μB per formula unit: 0.00
Space group: No. 194

Unit cell a=5.264 b=5.264 c=17.200 alpha=90.00 beta=90.00 gamma=120.00
Atoms (fractional coordinates):
Ta 0.000 0.000 0.100
Ta 0.000 0.000 0.400
Ta 0.000 0.000 0.600
Ta 0.000 0.000 0.900
W 0.000 0.500 0.000
W 0.000 0.500 0.500
W 0.163 0.326 0.250
W 0.163 0.837 0.250
W 0.326 0.163 0.750
W 0.333 0.667 0.125
W 0.333 0.667 0.375
W 0.333 0.667 0.648
W 0.333 0.667 0.852
W 0.500 0.000 0.000
W 0.500 0.000 0.500
W 0.500 0.500 0.000
W 0.500 0.500 0.500
W 0.667 0.333 0.148
W 0.667 0.333 0.352
W 0.667 0.333 0.625
W 0.667 0.333 0.875
W 0.674 0.837 0.250
W 0.837 0.163 0.750
W 0.837 0.674 0.750

---

In meV/atom, relative to the most stable structure: (one) 178; (two) 0.

---

(one)
Density functional theory data (GGA-PBE) for an optimized crystal structure of Ta6W7.

Properties
Magnetization, μB per formula unit: 0.00
Space group: No. 166

Unit cell a=9.963 b=9.963 c=9.963 alpha=30.80 beta=30.80 gamma=30.80
Atoms (fractional coordinates):
Ta 0.047 0.047 0.047
Ta 0.149 0.149 0.149
Ta 0.332 0.332 0.332
Ta 0.668 0.668 0.668
Ta 0.851 0.851 0.851
Ta 0.953 0.953 0.953
W 0.087 0.592 0.592
W 0.408 0.408 0.913
W 0.408 0.913 0.408
W 0.500 0.500 0.500
W 0.592 0.087 0.592
W 0.592 0.592 0.087
W 0.913 0.408 0.408

---

(two)
Density functional theory data (GGA-PBE) for an optimized crystal structure of Ta6W7.

Properties
Magnetization, μB per formula unit: 0.01
Space group: No. 166

Unit cell a=9.744 b=9.744 c=9.744 alpha=31.87 beta=31.87 gamma=31.87
Atoms (fractional coordinates):
Ta 0.091 0.091 0.585
Ta 0.091 0.585 0.091
Ta 0.415 0.909 0.909
Ta 0.585 0.091 0.091
Ta 0.909 0.415 0.909
Ta 0.909 0.909 0.415
W 0.000 0.000 0.000
W 0.168 0.168 0.168
W 0.352 0.352 0.352
W 0.454 0.454 0.454
W 0.546 0.546 0.546
W 0.648 0.648 0.648
W 0.832 0.832 0.832

---

In meV/atom, relative to the most stable structure: (one) 0; (two) 359.

---

(one)
Density functional theory data (GGA-PBE) for an optimized crystal structure of Ta3W10.

Properties
Magnetization, μB per formula unit: 0.01
Space group: No. 166

Unit cell a=9.964 b=9.964 c=9.964 alpha=30.32 beta=30.32 gamma=30.32
Atoms (fractional coordinates):
Ta 0.000 0.000 0.000
Ta 0.168 0.168 0.168
Ta 0.832 0.832 0.832
W 0.091 0.091 0.586
W 0.091 0.586 0.091
W 0.349 0.349 0.349
W 0.414 0.909 0.909
W 0.454 0.454 0.454
W 0.546 0.546 0.546
W 0.586 0.091 0.091
W 0.651 0.651 0.651
W 0.909 0.414 0.909
W 0.909 0.909 0.414

---

(two)
Density functional theory data (GGA-PBE) for an optimized crystal structure of Ta3W10.

Properties
Magnetization, μB per formula unit: 0.00
Space group: No. 166

Unit cell a=9.880 b=9.880 c=9.880 alpha=30.71 beta=30.71 gamma=30.71
Atoms (fractional coordinates):
Ta 0.000 0.000 0.000
Ta 0.352 0.352 0.352
Ta 0.648 0.648 0.648
W 0.089 0.089 0.584
W 0.089 0.584 0.089
W 0.168 0.168 0.168
W 0.416 0.911 0.911
W 0.456 0.456 0.456
W 0.544 0.544 0.544
W 0.584 0.089 0.089
W 0.832 0.832 0.832
W 0.911 0.416 0.911
W 0.911 0.911 0.416

---

In meV/atom, relative to the most stable structure: (one) 47; (two) 0.

---

(one)
Density functional theory data (GGA-PBE) for an optimized crystal structure of Ta7W6.

Properties
Magnetization, μB per formula unit: 0.01
Space group: No. 166

Unit cell a=10.021 b=10.021 c=10.021 alpha=30.64 beta=30.64 gamma=30.64
Atoms (fractional coordinates):
Ta 0.000 0.000 0.000
Ta 0.168 0.168 0.168
Ta 0.351 0.351 0.351
Ta 0.454 0.454 0.454
Ta 0.546 0.546 0.546
Ta 0.649 0.649 0.649
Ta 0.832 0.832 0.832
W 0.091 0.091 0.586
W 0.091 0.586 0.091
W 0.414 0.909 0.909
W 0.586 0.091 0.091
W 0.909 0.414 0.909
W 0.909 0.909 0.414

---

(two)
Density functional theory data (GGA-PBE) for an optimized crystal structure of Ta7W6.

Properties
Magnetization, μB per formula unit: 0.01
Space group: No. 166

Unit cell a=9.833 b=9.833 c=9.833 alpha=31.52 beta=31.52 gamma=31.52
Atoms (fractional coordinates):
Ta 0.000 0.000 0.000
Ta 0.090 0.090 0.584
Ta 0.090 0.584 0.090
Ta 0.416 0.910 0.910
Ta 0.584 0.090 0.090
Ta 0.910 0.416 0.910
Ta 0.910 0.910 0.416
W 0.168 0.168 0.168
W 0.352 0.352 0.352
W 0.455 0.455 0.455
W 0.545 0.545 0.545
W 0.648 0.648 0.648
W 0.832 0.832 0.832

---

In meV/atom, relative to the most stable structure: (one) 0; (two) 366.

---

(one)
Density functional theory data (GGA-PBE) for an optimized crystal structure of Ta13W16.

Properties
Magnetization, μB per formula unit: 0.02
Space group: No. 217

Unit cell a=8.689 b=8.689 c=8.689 alpha=109.47 beta=109.47 gamma=109.47
Atoms (fractional coordinates):
Ta 0.000 0.000 0.000
Ta 0.000 0.193 0.382
Ta 0.000 0.382 0.193
Ta 0.189 0.807 0.807
Ta 0.193 0.000 0.382
Ta 0.193 0.382 0.000
Ta 0.382 0.000 0.193
Ta 0.382 0.193 0.000
Ta 0.618 0.618 0.811
Ta 0.618 0.811 0.618
Ta 0.807 0.189 0.807
Ta 0.807 0.807 0.189
Ta 0.811 0.618 0.618
W 0.000 0.000 0.626
W 0.000 0.406 0.684
W 0.000 0.626 0.000
W 0.000 0.684 0.406
W 0.278 0.594 0.594
W 0.316 0.316 0.722
W 0.316 0.722 0.316
W 0.374 0.374 0.374
W 0.406 0.000 0.684
W 0.406 0.684 0.000
W 0.594 0.278 0.594
W 0.594 0.594 0.278
W 0.626 0.000 0.000
W 0.684 0.000 0.406
W 0.684 0.406 0.000
W 0.722 0.316 0.316

---

(two)
Density functional theory data (GGA-PBE) for an optimized crystal structure of Ta13W16.

Properties
Magnetization, μB per formula unit: 0.04
Space group: No. 217

Unit cell a=8.708 b=8.708 c=8.708 alpha=109.47 beta=109.47 gamma=109.47
Atoms (fractional coordinates):
Ta 0.000 0.000 0.000
Ta 0.000 0.406 0.683
Ta 0.000 0.683 0.406
Ta 0.277 0.594 0.594
Ta 0.317 0.317 0.723
Ta 0.317 0.723 0.317
Ta 0.406 0.000 0.683
Ta 0.406 0.683 0.000
Ta 0.594 0.277 0.594
Ta 0.594 0.594 0.277
Ta 0.683 0.000 0.406
Ta 0.683 0.406 0.000
Ta 0.723 0.317 0.317
W 0.000 0.000 0.640
W 0.000 0.185 0.370
W 0.000 0.370 0.185
W 0.000 0.640 0.000
W 0.185 0.000 0.370
W 0.185 0.370 0.000
W 0.186 0.815 0.815
W 0.360 0.360 0.360
W 0.370 0.000 0.185
W 0.370 0.185 0.000
W 0.630 0.630 0.814
W 0.630 0.814 0.630
W 0.640 0.000 0.000
W 0.814 0.630 0.630
W 0.815 0.186 0.815
W 0.815 0.815 0.186

---

In meV/atom, relative to the most stable structure: (one) 113; (two) 0.

---

(one)
Density functional theory data (GGA-PBE) for an optimized crystal structure of Ta3W2.

Properties
Magnetization, μB per formula unit: 0.00
Space group: No. 136

Unit cell a=10.018 b=10.018 c=5.284 alpha=90.00 beta=90.00 gamma=90.00
Atoms (fractional coordinates):
Ta 0.000 0.000 0.000
Ta 0.034 0.368 0.500
Ta 0.132 0.534 0.000
Ta 0.185 0.815 0.251
Ta 0.185 0.815 0.749
Ta 0.315 0.315 0.249
Ta 0.315 0.315 0.751
Ta 0.368 0.034 0.500
Ta 0.466 0.868 0.000
Ta 0.500 0.500 0.500
Ta 0.534 0.132 0.000
Ta 0.632 0.966 0.500
Ta 0.685 0.685 0.249
Ta 0.685 0.685 0.751
Ta 0.815 0.185 0.251
Ta 0.815 0.185 0.749
Ta 0.868 0.466 0.000
Ta 0.966 0.632 0.500
W 0.065 0.257 0.000
W 0.103 0.103 0.500
W 0.243 0.565 0.500
W 0.257 0.065 0.000
W 0.397 0.603 0.000
W 0.435 0.757 0.500
W 0.565 0.243 0.500
W 0.603 0.397 0.000
W 0.743 0.935 0.000
W 0.757 0.435 0.500
W 0.897 0.897 0.500
W 0.935 0.743 0.000

---

(two)
Density functional theory data (GGA-PBE) for an optimized crystal structure of Ta3W2.

Properties
Magnetization, μB per formula unit: 0.00
Space group: No. 136

Unit cell a=10.031 b=10.031 c=5.270 alpha=90.00 beta=90.00 gamma=90.00
Atoms (fractional coordinates):
Ta 0.000 0.000 0.000
Ta 0.065 0.265 0.000
Ta 0.182 0.818 0.251
Ta 0.182 0.818 0.749
Ta 0.235 0.565 0.500
Ta 0.265 0.065 0.000
Ta 0.318 0.318 0.249
Ta 0.318 0.318 0.751
Ta 0.435 0.765 0.500
Ta 0.500 0.500 0.500
Ta 0.565 0.235 0.500
Ta 0.682 0.682 0.249
Ta 0.682 0.682 0.751
Ta 0.735 0.935 0.000
Ta 0.765 0.435 0.500
Ta 0.818 0.182 0.251
Ta 0.818 0.182 0.749
Ta 0.935 0.735 0.000
W 0.036 0.370 0.500
W 0.105 0.105 0.500
W 0.130 0.536 0.000
W 0.370 0.036 0.500
W 0.395 0.605 0.000
W 0.464 0.870 0.000
W 0.536 0.130 0.000
W 0.605 0.395 0.000
W 0.630 0.964 0.500
W 0.870 0.464 0.000
W 0.895 0.895 0.500
W 0.964 0.630 0.500

---

In meV/atom, relative to the most stable structure: (one) 0; (two) 79.